A plane-wave DFT calculation with PBE was carried out for a relaxed structure of BaYTlTe2.

Structure (POSCAR):
```
BaYTlTe2
1.0
6.176 0.000 0.000
0.000 6.176 0.000
0.000 0.000 5.555
Ba Y Tl Te
1 1 1 2
Direct
0.000 0.000 0.000
0.500 0.500 0.000
0.500 0.500 0.500
0.000 0.500 0.500
0.500 0.000 0.500
```

Calculated values
Raw formation energy ... -0.176 eV per atom

=====

A plane-wave DFT calculation with PBE was carried out for a relaxed structure of BaTm6Te8.

Structure (POSCAR):
```
BaTm6Te8
1.0
5.770 3.332 4.728
-5.770 3.332 4.728
0.000 -6.663 4.728
Ba Tm Te
1 6 8
Direct
0.000 0.000 0.000
0.200 0.414 0.568
0.414 0.568 0.200
0.432 0.800 0.586
0.568 0.200 0.414
0.586 0.432 0.800
0.800 0.586 0.432
0.130 0.738 0.377
0.247 0.247 0.247
0.262 0.623 0.870
0.377 0.130 0.738
0.623 0.870 0.262
0.738 0.377 0.130
0.753 0.753 0.753
0.870 0.262 0.623
```

Calculated values
Raw formation energy ... -1.233 eV per atom

=====

A plane-wave DFT calculation with PBE was carried out for a relaxed structure of Ba2Tm3Te6.

Structure (POSCAR):
```
Ba2Tm3Te6
1.0
3.842 -6.658 0.000
3.842 6.658 0.000
-2.576 0.000 8.002
Ba Tm Te
2 3 6
Direct
0.166 0.834 0.000
0.834 0.166 0.000
0.000 0.000 0.500
0.331 0.669 0.500
0.669 0.331 0.500
0.077 0.405 0.714
0.267 0.267 0.288
0.405 0.077 0.714
0.595 0.923 0.286
0.733 0.733 0.712
0.923 0.595 0.286
```

Calculated values
Raw formation energy ... -1.497 eV per atom

=====

A plane-wave DFT calculation with PBE was carried out for a relaxed structure of BaTmTe4.

Structure (POSCAR):
```
BaTmTe4
1.0
6.969 0.000 0.000
0.000 6.969 0.000
0.000 0.000 8.380
Ba Tm Te
2 2 8
Direct
0.250 0.250 0.000
0.750 0.750 0.000
0.250 0.250 0.500
0.750 0.750 0.500
0.097 0.597 0.289
0.097 0.903 0.711
0.403 0.597 0.711
0.403 0.903 0.289
0.597 0.097 0.711
0.597 0.403 0.289
0.903 0.097 0.289
0.903 0.403 0.711
```

Calculated values
Raw formation energy ... -1.074 eV per atom

=====

A plane-wave DFT calculation with PBE was carried out for a relaxed structure of BaTm3Te6.

Structure (POSCAR):
```
BaTm3Te6
1.0
12.695 0.000 0.000
0.000 4.447 0.000
-4.266 0.000 12.253
Ba Tm Te
2 6 12
Direct
0.054 0.250 0.198
0.946 0.750 0.802
0.155 0.250 0.585
0.324 0.750 0.002
0.451 0.250 0.339
0.549 0.750 0.661
0.676 0.250 0.998
0.845 0.750 0.415
0.085 0.750 0.415
0.145 0.250 0.967
0.211 0.750 0.749
0.285 0.750 0.234
0.384 0.250 0.550
0.487 0.250 0.119
0.513 0.750 0.881
0.616 0.750 0.450
0.715 0.250 0.766
0.789 0.250 0.251
0.855 0.750 0.033
0.915 0.250 0.585
```

Calculated values
Raw formation energy ... -1.328 eV per atom

=====

A plane-wave DFT calculation with PBE was carried out for a relaxed structure of BaTmTe2.

Structure (POSCAR):
```
BaTmTe2
1.0
4.461 0.000 0.000
-2.231 3.864 0.000
0.000 0.000 24.382
Ba Tm Te
3 3 6
Direct
0.000 0.000 0.000
0.333 0.667 0.667
0.667 0.333 0.333
0.000 0.000 0.172
0.333 0.667 0.839
0.667 0.333 0.505
0.000 0.000 0.573
0.000 0.000 0.767
0.333 0.667 0.240
0.333 0.667 0.433
0.667 0.333 0.100
0.667 0.333 0.906
```

Calculated values
Energy above the most stable polymorph in this dataset ... 3.2 kJ per mole of atoms
Raw formation energy ... -1.436 eV per atom

=====

A plane-wave DFT calculation with PBE was carried out for a relaxed structure of BaTmTe2.

Structure (POSCAR):
```
BaTmTe2
1.0
4.537 0.000 0.000
-2.268 3.929 0.000
0.000 0.000 23.426
Ba Tm Te
3 3 6
Direct
0.000 0.000 0.000
0.333 0.667 0.667
0.667 0.333 0.333
0.000 0.000 0.500
0.333 0.667 0.167
0.667 0.333 0.833
0.000 0.000 0.237
0.000 0.000 0.763
0.333 0.667 0.430
0.333 0.667 0.904
0.667 0.333 0.096
0.667 0.333 0.570
```

Calculated values
Energy above the most stable polymorph in this dataset ... 0.0 kJ per mole of atoms
Raw formation energy ... -1.469 eV per atom

=====

A plane-wave DFT calculation with PBE was carried out for a relaxed structure of BaTmTe3.

Structure (POSCAR):
```
BaTmTe3
1.0
6.570 -7.930 0.000
6.570 7.930 0.000
-0.196 0.000 7.668
Ba Tm Te
4 4 12
Direct
0.089 0.274 0.073
0.274 0.089 0.573
0.726 0.911 0.427
0.911 0.726 0.927
0.300 0.700 0.250
0.433 0.567 0.750
0.567 0.433 0.250
0.700 0.300 0.750
0.034 0.794 0.358
0.179 0.581 0.914
0.206 0.966 0.142
0.291 0.431 0.417
0.419 0.821 0.586
0.431 0.291 0.917
0.569 0.709 0.083
0.581 0.179 0.414
0.709 0.569 0.583
0.794 0.034 0.858
0.821 0.419 0.086
0.966 0.206 0.642
```

Calculated values
Raw formation energy ... -1.349 eV per atom

=====

A plane-wave DFT calculation with PBE was carried out for a relaxed structure of Ba3YTm3Te8.

Structure (POSCAR):
```
Ba3YTm3Te8
1.0
4.466 2.578 7.968
-4.466 2.578 7.968
0.000 -5.157 7.968
Ba Y Tm Te
3 1 3 8
Direct
0.000 0.500 0.500
0.500 0.000 0.500
0.500 0.500 0.000
0.500 0.500 0.500
0.000 0.000 0.500
0.000 0.500 0.000
0.500 0.000 0.000
0.230 0.742 0.742
0.237 0.237 0.237
0.258 0.258 0.770
0.258 0.770 0.258
0.742 0.230 0.742
0.742 0.742 0.230
0.763 0.763 0.763
0.770 0.258 0.258
```

Calculated values
Raw formation energy ... -1.507 eV per atom

=====

A plane-wave DFT calculation with PBE was carried out for a relaxed structure of Ba3Y3TmTe8.

Structure (POSCAR):
```
Ba3Y3TmTe8
1.0
4.494 2.594 8.002
-4.494 2.594 8.002
0.000 -5.189 8.002
Ba Y Tm Te
3 3 1 8
Direct
0.000 0.500 0.500
0.500 0.000 0.500
0.500 0.500 0.000
0.000 0.000 0.500
0.000 0.500 0.000
0.500 0.000 0.000
0.500 0.500 0.500
0.238 0.738 0.738
0.239 0.239 0.239
0.262 0.262 0.762
0.262 0.762 0.262
0.738 0.238 0.738
0.738 0.738 0.238
0.761 0.761 0.761
0.762 0.262 0.262
```

Calculated values
Raw formation energy ... -1.537 eV per atom

=====

A plane-wave DFT calculation with PBE was carried out for a relaxed structure of BaU3Te6.

Structure (POSCAR):
```
BaU3Te6
1.0
13.131 0.000 0.000
0.000 4.429 0.000
-4.517 0.000 12.693
Ba U Te
2 6 12
Direct
0.117 0.250 0.371
0.883 0.750 0.629
0.155 0.250 0.041
0.272 0.750 0.724
0.489 0.750 0.381
0.511 0.250 0.619
0.728 0.250 0.276
0.845 0.750 0.959
0.059 0.750 0.146
0.100 0.250 0.633
0.255 0.750 0.947
0.333 0.250 0.261
0.333 0.750 0.519
0.437 0.250 0.810
0.563 0.750 0.190
0.667 0.250 0.481
0.667 0.750 0.739
0.745 0.250 0.053
0.900 0.750 0.367
0.941 0.250 0.854
```

Calculated values
Raw formation energy ... -0.788 eV per atom

=====

A plane-wave DFT calculation with PBE was carried out for a relaxed structure of BaUTe6.

Structure (POSCAR):
```
BaUTe6
1.0
9.142 0.000 0.000
0.000 15.253 0.000
-0.341 0.000 8.135
Ba U Te
4 4 24
Direct
0.246 0.089 0.253
0.246 0.411 0.753
0.754 0.589 0.247
0.754 0.911 0.747
0.268 0.749 0.611
0.268 0.751 0.111
0.732 0.249 0.889
0.732 0.251 0.389
0.005 0.740 0.850
0.005 0.760 0.350
0.023 0.601 0.609
0.023 0.899 0.109
0.173 0.551 0.108
0.173 0.949 0.608
0.385 0.606 0.367
0.385 0.894 0.867
0.399 0.196 0.872
0.399 0.304 0.372
0.412 0.616 0.872
0.412 0.884 0.372
0.588 0.116 0.628
0.588 0.384 0.128
0.601 0.696 0.628
0.601 0.804 0.128
0.615 0.106 0.133
0.615 0.394 0.633
0.827 0.051 0.392
0.827 0.449 0.892
0.977 0.101 0.891
0.977 0.399 0.391
0.995 0.240 0.650
0.995 0.260 0.150
```

Calculated values
Raw formation energy ... -0.721 eV per atom